The following is a DFT calculation (PBE-GGA) of crystalline CsPm3Te3 at its relaxed geometry.

Cell lengths 10.9410, 10.9410, 10.9410 Å; angles 47.02, 47.02, 47.02 degrees
Closest atoms and distances in Å follow each position.
Element x y z (fractional)
Cs 0.1649 0.1649 0.1649  6 Te 3.89-3.97
Cs 0.8351 0.8351 0.8351  6 Te 3.89-3.97
Pm 0.1151 0.3588 0.6445  4 Te 3.10-3.17
Pm 0.3555 0.8849 0.6412  4 Te 3.10-3.18
Pm 0.3588 0.6445 0.1151  4 Te 3.10-3.17
Pm 0.6412 0.3555 0.8849  4 Te 3.10-3.18
Pm 0.6445 0.1151 0.3588  4 Te 3.10-3.18
Pm 0.8849 0.6412 0.3555  4 Te 3.10-3.18
Te 0.0053 0.7834 0.4177  4 Pm 3.10-3.18
Te 0.2166 0.5823 0.9947  4 Pm 3.10-3.17
Te 0.4177 0.0053 0.7834  4 Pm 3.10-3.18
Te 0.5823 0.9947 0.2166  4 Pm 3.10-3.18
Te 0.7834 0.4177 0.0053  4 Pm 3.10-3.18
Te 0.9947 0.2166 0.5823  4 Pm 3.10-3.17

Values from the calculation:
Crystal system: trigonal
Energy relative to the elements, uncorrected in meV per atom: -984
D(E_F) in states/eV/f.u.: 5.7
Theoretical density in kg/m3: 4927
M_tot in μB/f.u.: 2.00
Space group: R-3 (148)